Entry 1:
A plane-wave DFT calculation with GGA-PBEsol was carried out for an optimized crystal structure of KLa3.

Lattice parameters (Å, degrees): 7.6301 10.9357 3.5846 90.00 90.00 90.00
Space group Cmmm (No. 65)
Unique sites:
K 0.0000 0.0000 0.0000 x2
La 0.0000 0.5000 0.0000 x2
La 0.2500 0.2500 0.5000 x4

***

Entry 2:
A plane-wave DFT calculation with GGA-PBEsol was carried out for an optimized crystal structure of KLa3.

Lattice parameters (Å, degrees): 3.5262 5.7156 7.8234 90.00 90.00 90.00
Space group Pmm2 (No. 25)
Unique sites:
K 0.0000 0.0000 0.0000 x1
La 0.0000 0.5000 0.3138 x1
La 0.5000 0.0000 0.5018 x1
La 0.5000 0.5000 0.7091 x1

***

Entry 3:
A plane-wave DFT calculation with GGA-PBEsol was carried out for an optimized crystal structure of KLiLa.

Lattice parameters (Å, degrees): 3.5380 3.5380 17.9577 90.00 90.00 90.00
Space group I4mm (No. 107)
Unique sites:
K 0.0000 0.0000 0.0000 x2
Li 0.0000 0.0000 0.3321 x2
La 0.0000 0.0000 0.6989 x2

***

Entry 4:
A plane-wave DFT calculation with GGA-PBEsol was carried out for an optimized crystal structure of K2LaMg.

Lattice parameters (Å, degrees): 5.0174 5.0174 6.5940 90.00 90.00 90.00
Space group P4/mmm (No. 123)
Unique sites:
K 0.0000 0.5000 0.0000 x2
La 0.0000 0.0000 0.5000 x1
Mg 0.5000 0.5000 0.5000 x1

***

What energy values result from the calculations? In sequence: -3.9137; -3.9498; -2.5146; -1.9108 eV per atom.